Entry 1:
The following is a PBE calculation of a geometry-optimized BaCu2Ir structure, from Alexandria via LeMat-Bulk.

space-group type = Cm (8)
formation energy = -42.4 meV/atom
distance to the lowest polymorph of the same formula = 0.0 kJ per mole of atoms
E = -19.146 eV/f.u.

The structure in extended XYZ format:
```
4
Lattice="4.356 -0.004 0.019 2.180 3.772 0.019 2.170 1.251 5.531" Properties=species:S:1:pos:R:3 pbc="T T T"
Ba 6.534 3.766 4.128
Cu 6.533 3.766 1.136
Cu 2.175 1.254 1.462
Ir 4.353 2.509 1.666
```

---

Entry 2:
The following is a PBE calculation of a geometry-optimized Ba6CuIr structure, from Alexandria via LeMat-Bulk.

space-group type = R-3 (148)
formation energy = -86.7 meV/atom
E = -25.187 eV/f.u.

The structure in extended XYZ format:
```
8
Lattice="-0.208 7.605 2.115 -6.468 2.975 3.405 0.505 1.714 8.615" Properties=species:S:1:pos:R:3 pbc="T T T"
Ba -3.979 9.167 6.061
Ba -4.607 6.564 9.970
Cu -3.085 6.147 7.067
Ba -2.191 3.126 8.074
Ir 0.000 0.000 0.000
Ba -1.563 5.730 4.164
Ba -0.322 7.327 8.447
Ba -5.848 4.966 5.687
```

---

Entry 3:
The following is a PBE calculation of a geometry-optimized BaCu2Ir structure, from Alexandria via LeMat-Bulk.

space-group type = Cmmm (65)
formation energy = 542.6 meV/atom
distance to the lowest polymorph of the same formula = 56.4 kJ per mole of atoms
E = -16.806 eV/f.u.

The structure in extended XYZ format:
```
4
Lattice="-4.135 1.471 -0.533 -1.436 -4.170 -0.303 -0.535 -0.096 3.903" Properties=species:S:1:pos:R:3 pbc="T T T"
Cu 0.000 0.000 0.000
Ba -0.986 -2.133 1.800
Ir -2.335 0.687 1.685
Cu -2.786 -1.349 -0.418
```

---

Entry 4:
The following is a PBE calculation of a geometry-optimized BaCu2Ir structure, from Alexandria via LeMat-Bulk.

space-group type = P4mm (99)
formation energy = 368.5 meV/atom
distance to the lowest polymorph of the same formula = 39.6 kJ per mole of atoms
E = -17.502 eV/f.u.

The structure in extended XYZ format:
```
4
Lattice="3.268 -0.012 0.000 0.011 3.268 0.000 0.000 0.000 7.286" Properties=species:S:1:pos:R:3 pbc="T T T"
Ba 1.640 1.628 5.374
Cu 1.640 1.628 1.800
Ir 0.000 0.000 3.130
Cu 0.000 0.000 0.625
```

---

Entry 5:
The following is a PBE calculation of a geometry-optimized Ba2CuIr structure, from Alexandria via LeMat-Bulk.

space-group type = P4mm (99)
formation energy = 210.7 meV/atom
distance to the lowest polymorph of the same formula = 34.4 kJ per mole of atoms
E = -15.960 eV/f.u.

The structure in extended XYZ format:
```
4
Lattice="3.638 0.000 0.000 0.000 3.638 0.000 0.000 0.000 9.241" Properties=species:S:1:pos:R:3 pbc="T T T"
Cu 0.000 0.000 5.453
Ba 1.819 1.819 3.204
Ba 0.000 0.000 8.346
Ir 1.819 1.819 6.099
```

---

Entry 6:
The following is a PBE calculation of a geometry-optimized Ba4CuIr structure, from Alexandria via LeMat-Bulk.

space-group type = F-43m (216)
formation energy = 1035.6 meV/atom
E = -14.435 eV/f.u.

The structure in extended XYZ format:
```
6
Lattice="0.000 4.786 4.786 4.786 0.000 4.786 4.786 4.786 0.000" Properties=species:S:1:pos:R:3 pbc="T T T"
Cu 7.180 7.180 7.180
Ba 3.583 5.990 5.990
Ir 0.000 0.000 0.000
Ba 3.583 3.583 3.583
Ba 5.990 5.990 3.583
Ba 5.990 3.583 5.990
```

---

What DOS(E_F) values result from the calculations? In sequence: 1.67, 8.57, 1.80, 3.83, 3.63, 5.42 states/eV/f.u..